Entry 1:
A plane-wave DFT calculation with PBE-GGA was carried out for a geometry-optimized LaTb5Y6 structure.

The structure in POSCAR format:
```
LaTb5Y6
1.0
5.9403 -5.3781 0.0000
5.9403 5.3781 0.0000
-1.0903 0.0000 6.1042
La Tb Y
1 5 6
Cartesian
0.0000 0.0000 0.0000 La
5.3951 3.5613 3.0521 Tb
5.9403 1.7762 0.0000 Tb
5.3951 0.0000 3.0521 Tb
5.9403 -1.7762 0.0000 Tb
5.3951 -3.5613 3.0521 Tb
2.7094 1.7985 1.5248 Y
2.1648 0.0000 4.5692 Y
2.7094 -1.7985 1.5248 Y
8.0809 1.7985 4.5794 Y
8.6255 0.0000 1.5350 Y
8.0809 -1.7985 4.5794 Y
```

Its energy of formation is 0.27 eV/f.u. The value obtained for the excess energy over the best structure of this formula in the dataset is 3 meV per atom. As for the crystal system: monoclinic.

=====

Entry 2:
A plane-wave DFT calculation with PBE-GGA was carried out for a geometry-optimized Sc5ZnSn2Rh2 structure.

The structure in POSCAR format:
```
Sc5ZnSn2Rh2
1.0
11.0463 0.0000 0.0000
0.0000 11.0463 0.0000
0.0000 0.0000 3.3836
Sc Zn Sn Rh
10 2 4 4
Cartesian
0.0000 5.5231 0.0000 Sc
0.7774 2.1881 0.0000 Sc
2.1881 10.2688 0.0000 Sc
3.3351 4.7457 0.0000 Sc
4.7457 7.7112 0.0000 Sc
5.5231 0.0000 0.0000 Sc
6.3006 3.3351 0.0000 Sc
7.7112 6.3006 0.0000 Sc
8.8582 0.7774 0.0000 Sc
10.2688 8.8582 0.0000 Sc
0.0000 0.0000 1.6918 Zn
5.5231 5.5231 1.6918 Zn
1.9104 7.4335 1.6918 Sn
3.6128 1.9104 1.6918 Sn
7.4335 9.1359 1.6918 Sn
9.1359 3.6128 1.6918 Sn
1.4706 4.0526 1.6918 Rh
4.0526 9.5757 1.6918 Rh
6.9937 1.4706 1.6918 Rh
9.5757 6.9937 1.6918 Rh
```

Its energy of formation is -5.98 eV/f.u. As for the crystal system: tetragonal.

=====

Entry 3:
A plane-wave DFT calculation with PBE-GGA was carried out for a geometry-optimized ScTl3Ge2Te6 structure.

The structure in POSCAR format:
```
ScTl3Ge2Te6
1.0
3.7712 -6.5036 0.0000
3.7712 6.5036 0.0000
-2.5412 0.0000 7.6411
Sc Tl Ge Te
1 3 2 6
Cartesian
0.0000 0.0000 0.0000 Sc
2.5006 4.2989 3.8205 Tl
2.5006 0.0000 3.8205 Tl
2.5006 -4.2989 3.8205 Tl
3.7712 2.1472 0.0000 Ge
3.7712 -2.1472 0.0000 Ge
1.2335 2.1375 1.5656 Te
-0.0680 0.0000 6.0432 Te
1.2335 -2.1375 1.5656 Te
3.7676 2.1375 6.0755 Te
5.0692 0.0000 1.5978 Te
3.7676 -2.1375 6.0755 Te
```

The value obtained for the energy relative to the elements, uncorrected is -0.382 eV per atom. As for the crystal system: monoclinic.

=====

Entry 4:
A plane-wave DFT calculation with PBE-GGA was carried out for a geometry-optimized ErCd7Ag5 structure.

The structure in POSCAR format:
```
ErCd7Ag5
1.0
-2.8129 4.9508 4.9011
2.8129 -4.9508 4.9011
2.8129 4.9508 -4.9011
Er Cd Ag
1 7 5
Cartesian
0.0000 0.0000 0.0000 Er
2.8129 1.9836 0.1042 Cd
2.8129 0.0000 2.2322 Cd
0.0000 0.0000 3.4247 Cd
0.0000 3.4029 0.1555 Cd
0.0000 0.0000 6.4889 Cd
0.0000 6.4987 0.1555 Cd
0.0000 2.9672 5.0053 Cd
1.3991 2.4586 -2.3220 Ag
4.2267 2.4586 -2.3220 Ag
-1.4138 2.4922 2.5791 Ag
1.4138 2.4922 2.5791 Ag
0.0000 4.9508 2.8958 Ag
```

Its energy of formation is -1.24 eV/f.u. As for the crystal system: orthorhombic.

=====

Entry 5:
A plane-wave DFT calculation with PBE-GGA was carried out for a geometry-optimized SnTe2Cl structure.

The structure in POSCAR format:
```
SnTe2Cl
1.0
1.6773 0.9684 10.9690
-1.6773 0.9684 10.9690
0.0000 -1.9368 10.9690
Sn Te Cl
1 2 1
Cartesian
0.0000 0.0000 0.0000 Sn
0.0000 0.0000 2.9853 Te
0.0000 0.0000 29.9216 Te
0.0000 0.0000 16.4534 Cl
```

The value obtained for the excess energy over the best structure of this formula in the dataset is 390 meV per atom. The value obtained for the energy relative to the elements, uncorrected is 0.080 eV per atom. As for the crystal system: trigonal.

=====

Entry 6:
A plane-wave DFT calculation with PBE-GGA was carried out for a geometry-optimized Y2MgGa9 structure.

The structure in POSCAR format:
```
Y2MgGa9
1.0
4.2731 0.0000 0.0000
0.0000 4.2731 0.0000
0.0000 0.0000 12.6725
Y Mg Ga
2 1 9
Cartesian
0.0000 0.0000 2.1423 Y
0.0000 0.0000 10.5302 Y
0.0000 0.0000 6.3363 Mg
0.0000 2.1365 0.0000 Ga
0.0000 2.1365 4.3504 Ga
0.0000 2.1365 8.3222 Ga
2.1365 0.0000 0.0000 Ga
2.1365 0.0000 4.3504 Ga
2.1365 0.0000 8.3222 Ga
2.1365 2.1365 2.0965 Ga
2.1365 2.1365 6.3363 Ga
2.1365 2.1365 10.5761 Ga
```

Its energy of formation is -4.58 eV/f.u. As for the crystal system: tetragonal.

=====

Entry 7:
A plane-wave DFT calculation with PBE-GGA was carried out for a geometry-optimized PrGa2AgAu5 structure.

The structure in POSCAR format:
```
PrGa2AgAu5
1.0
4.9408 0.0000 0.0000
0.0000 4.9408 0.0000
0.0000 0.0000 7.7217
Pr Ga Ag Au
1 2 1 5
Cartesian
0.0000 0.0000 0.0000 Pr
2.4704 2.4704 2.6439 Ga
2.4704 2.4704 5.0778 Ga
0.0000 0.0000 3.8608 Ag
0.0000 2.4704 1.9449 Au
0.0000 2.4704 5.7768 Au
2.4704 0.0000 1.9449 Au
2.4704 0.0000 5.7768 Au
2.4704 2.4704 0.0000 Au
```

Its energy of formation is -2.48 eV/f.u. As for the crystal system: tetragonal.

=====

Entry 8:
A plane-wave DFT calculation with PBE-GGA was carried out for a geometry-optimized Na4NdPu3Se8 structure.

The structure in POSCAR format:
```
Na4NdPu3Se8
1.0
4.2345 2.4448 6.9470
-4.2345 2.4448 6.9470
0.0000 -4.8896 6.9470
Na Nd Pu Se
4 1 3 8
Cartesian
0.0000 0.0000 0.0000 Na
-2.1172 -1.2224 6.9470 Na
-2.1172 1.2224 13.8940 Na
0.0000 2.4448 6.9470 Na
0.0000 0.0000 10.4205 Nd
-4.2345 0.0000 10.4205 Pu
-2.1172 1.2224 3.4735 Pu
2.1172 1.2224 3.4735 Pu
-2.1467 -1.2394 12.0415 Se
0.0000 0.0000 5.0529 Se
0.0000 -2.4788 8.7995 Se
-2.1467 1.2394 8.7995 Se
2.1467 -1.2394 12.0415 Se
0.0000 2.4788 12.0415 Se
0.0000 0.0000 15.7882 Se
2.1467 1.2394 8.7995 Se
```

The value obtained for the energy relative to the elements, uncorrected is -1.473 eV per atom. As for the crystal system: trigonal.

=====

Entry 9:
A plane-wave DFT calculation with PBE-GGA was carried out for a geometry-optimized CrFe2Cu structure.

The structure in POSCAR format:
```
CrFe2Cu
1.0
1.2567 0.7256 8.3380
-1.2567 0.7256 8.3380
0.0000 -1.4511 8.3380
Cr Fe Cu
1 2 1
Cartesian
0.0000 0.0000 0.0000 Cr
0.0000 0.0000 6.3194 Fe
0.0000 0.0000 18.6946 Fe
0.0000 0.0000 12.5070 Cu
```

Its energy of formation is 0.71 eV/f.u. As for the crystal system: trigonal.

=====

Entry 10:
A plane-wave DFT calculation with PBE-GGA was carried out for a geometry-optimized AlInTc2 structure.

The structure in POSCAR format:
```
AlInTc2
1.0
3.1350 0.0000 0.0000
0.0000 3.1350 0.0000
0.0000 0.0000 6.5636
Al In Tc
1 1 2
Cartesian
0.0000 0.0000 0.0000 Al
1.5675 1.5675 1.9491 In
0.0000 0.0000 3.7059 Tc
1.5675 1.5675 5.2764 Tc
```

Its energy of formation is -0.23 eV/f.u. The value obtained for the excess energy over the best structure of this formula in the dataset is 0 meV per atom. As for the crystal system: tetragonal.

=====

Entry 11:
A plane-wave DFT calculation with PBE-GGA was carried out for a geometry-optimized TmCu6Pd12 structure.

The structure in POSCAR format:
```
TmCu6Pd12
1.0
5.3754 3.1035 2.9778
-5.3754 3.1035 2.9778
0.0000 -6.2070 2.9778
Tm Cu Pd
1 6 12
Cartesian
0.0000 0.0000 0.0000 Tm
0.0000 -1.5840 2.3196 Cu
-1.3718 0.7920 2.3196 Cu
1.3718 0.7920 2.3196 Cu
-1.3718 -0.7920 6.6139 Cu
1.3718 -0.7920 6.6139 Cu
0.0000 1.5840 6.6139 Cu
-1.4083 -3.7677 2.9778 Pd
-3.9671 0.6642 2.9778 Pd
-2.0874 -1.2051 4.0230 Pd
1.4083 -3.7677 2.9778 Pd
-2.5587 3.1035 2.9778 Pd
0.0000 -2.4103 4.9105 Pd
-2.0874 1.2051 4.9105 Pd
2.0874 -1.2051 4.0230 Pd
0.0000 2.4103 4.0230 Pd
3.9671 0.6642 2.9778 Pd
2.5587 3.1035 2.9778 Pd
2.0874 1.2051 4.9105 Pd
```

Its energy of formation is -0.69 eV/f.u. As for the crystal system: trigonal.

=====

Entry 12:
A plane-wave DFT calculation with PBE-GGA was carried out for a geometry-optimized Nd23Cd4Ni7 structure.

The structure in POSCAR format:
```
Nd23Cd4Ni7
1.0
9.8909 0.0000 0.0000
-4.9455 8.5658 0.0000
0.0000 0.0000 22.4789
Nd Cd Ni
46 8 14
Cartesian
0.0000 0.0000 1.0936 Nd
0.0000 0.0000 12.3331 Nd
-1.8892 4.6198 3.1220 Nd
-1.8428 4.6466 9.1819 Nd
0.0000 2.1784 15.4323 Nd
-3.0589 7.4766 15.4323 Nd
0.0000 3.4474 18.7915 Nd
-1.9600 6.8421 18.7915 Nd
0.0000 3.5271 6.1410 Nd
-1.8909 6.8022 6.1410 Nd
0.0000 3.5377 0.0000 Nd
-1.8817 6.7969 0.0000 Nd
0.0000 3.6154 12.2325 Nd
-1.8144 6.7581 12.2325 Nd
1.8865 1.0892 4.1929 Nd
0.0000 5.7105 15.7222 Nd
2.9855 1.7237 7.5521 Nd
3.0545 1.7635 17.3804 Nd
3.0637 1.7688 11.2394 Nd
3.1310 1.8077 0.9931 Nd
1.8428 4.6466 9.1819 Nd
0.0000 7.8384 9.1819 Nd
1.8892 4.6198 3.1220 Nd
0.0000 7.8920 3.1220 Nd
4.9455 0.6738 14.3615 Nd
3.0562 3.9460 14.3615 Nd
4.9455 0.7273 20.4214 Nd
3.1026 3.9192 20.4214 Nd
1.8144 6.7581 12.2325 Nd
1.8817 6.7969 0.0000 Nd
1.8909 6.8022 6.1410 Nd
1.9600 6.8421 18.7915 Nd
4.9455 2.8553 4.4827 Nd
3.0589 7.4766 15.4323 Nd
6.7599 1.8077 0.9931 Nd
4.9455 4.9503 0.9931 Nd
6.8272 1.7688 11.2394 Nd
4.9454 5.0281 11.2394 Nd
6.8364 1.7635 17.3804 Nd
4.9454 5.0387 17.3804 Nd
6.9054 1.7237 7.5521 Nd
4.9455 5.1184 7.5521 Nd
8.0044 1.0892 4.1929 Nd
4.9455 6.3874 4.1929 Nd
6.7883 3.9192 20.4214 Nd
6.8347 3.9460 14.3615 Nd
0.0000 0.0000 6.7743 Cd
0.0000 0.0000 18.0137 Cd
0.0000 1.8268 9.3631 Cd
-3.3634 7.6524 9.3631 Cd
1.5820 0.9134 20.6026 Cd
3.3634 7.6524 9.3631 Cd
8.3089 0.9134 20.6026 Cd
4.9455 6.7390 20.6026 Cd
-2.1598 4.4635 17.2133 Ni
0.0000 2.4443 2.6065 Ni
-2.8287 7.3436 2.6065 Ni
2.1168 1.2221 13.8459 Ni
0.0000 5.7105 20.5685 Ni
2.1598 4.4635 17.2133 Ni
0.0000 8.2045 17.2133 Ni
4.9455 0.3613 5.9738 Ni
2.7856 4.1022 5.9738 Ni
4.9455 2.8553 9.3290 Ni
2.8287 7.3436 2.6065 Ni
7.7741 1.2221 13.8459 Ni
4.9455 6.1215 13.8459 Ni
7.1053 4.1022 5.9738 Ni
```

Its energy of formation is -7.99 eV/f.u. As for the crystal system: hexagonal.

=====

Calculated final energy (Ha/atom), listed in the same order as above: -0.2039; -0.2264; -0.1412; -0.0748; -0.1085; -0.1419; -0.1329; -0.2400; -0.2751; -0.2521; -0.1780; -0.1749